## TeWI2F (GGA+U)

Data for a geometry-optimized TeWI2F structure.

Unit cell a=5.911 b=5.911 c=4.232 alpha=90.00 beta=90.00 gamma=90.00
Space group P4/mmm (No. 123)
Inequivalent atoms, fractional coordinates:
Te (0.000, 0.000, 0.000) (multiplicity 1)
W (0.500, 0.500, 0.000) (multiplicity 1)
I (0.000, 0.500, 0.500) (multiplicity 2)
F (0.000, 0.000, 0.500) (multiplicity 1)

Output
- Calculated volume: 29.569 A^3/atom
- Energy relative to the lowest polymorph listed for this composition: 0.304 eV/atom